[1]
MgCdBr2: relaxed, PBE.

```
MgCdBr2
1.0
7.2824 0.0000 0.0000
0.0000 8.3517 0.0000
-3.2700 0.0000 4.1344
Mg Cd Br
2 2 4
direct
0.0000 0.0000 0.0000
0.5000 0.5000 0.0000
0.0000 0.5000 0.0000
0.5000 0.0000 0.0000
0.2500 0.2500 0.5000
0.2500 0.7500 0.5000
0.7500 0.2500 0.5000
0.7500 0.7500 0.5000
```

The value obtained for the final energy is -1.872 eV/atom. As for the space group: No. 12. The uncorrected formation energy comes out at -0.408 eV per atom. The relative energy among the computed polymorphs is 0.566 eV/atom.



[2]
MgCdBr2: relaxed, PBE.

```
MgCdBr2
1.0
3.8293 0.0000 0.0000
-1.9146 3.3162 0.0000
0.0000 0.0000 35.9750
Mg Cd Br
3 3 6
direct
0.0000 0.0000 0.0000
0.3333 0.6667 0.6667
0.6667 0.3333 0.3333
0.0000 0.0000 0.5000
0.3333 0.6667 0.1667
0.6667 0.3333 0.8333
0.0000 0.0000 0.3758
0.0000 0.0000 0.6242
0.3333 0.6667 0.0424
0.3333 0.6667 0.2909
0.6667 0.3333 0.7091
0.6667 0.3333 0.9576
```

The value obtained for the final energy is -2.438 eV/atom. As for the space group: No. 166. The uncorrected formation energy comes out at -0.974 eV per atom. The relative energy among the computed polymorphs is 0.000 eV/atom.



[3]
MgCdBr2: relaxed, PBE.

```
MgCdBr2
1.0
3.6548 0.0000 0.0000
0.0000 6.9531 0.0000
0.0000 0.0000 11.2315
Mg Cd Br
2 2 4
direct
0.0000 0.0000 0.0000
0.5000 0.5000 0.5000
0.0000 0.0000 0.5000
0.5000 0.5000 0.0000
0.0000 0.5000 0.3390
0.0000 0.5000 0.6610
0.5000 0.0000 0.1610
0.5000 0.0000 0.8390
```

The value obtained for the final energy is -2.284 eV/atom. As for the space group: No. 71. The uncorrected formation energy comes out at -0.820 eV per atom. The relative energy among the computed polymorphs is 0.154 eV/atom.



[4]
Mg2CdBr: relaxed, PBE.

```
Mg2CdBr
1.0
7.8955 0.0000 0.0000
0.0000 7.8955 0.0000
0.0000 0.0000 6.7335
Mg Cd Br
8 4 4
direct
0.2394 0.7500 0.1250
0.2500 0.2394 0.8750
0.2500 0.2606 0.3750
0.2606 0.7500 0.6250
0.7394 0.2500 0.6250
0.7500 0.7394 0.3750
0.7500 0.7606 0.8750
0.7606 0.2500 0.1250
0.0000 0.0000 0.5000
0.0000 0.5000 0.7500
0.5000 0.0000 0.2500
0.5000 0.5000 0.0000
0.0000 0.0000 0.0000
0.0000 0.5000 0.2500
0.5000 0.0000 0.7500
0.5000 0.5000 0.5000
```

The value obtained for the final energy is -1.675 eV/atom. As for the space group: No. 122. The uncorrected formation energy comes out at -0.231 eV per atom. The relative energy among the computed polymorphs is 0.186 eV/atom.



[5]
Mg2CdBr: relaxed, PBE.

```
Mg2CdBr
1.0
3.3864 0.0000 0.0000
0.0000 5.2984 0.0000
0.0000 0.0000 10.9164
Mg Cd Br
4 2 2
direct
0.0000 0.0000 0.0000
0.0000 0.5000 0.2549
0.5000 0.0000 0.7549
0.5000 0.5000 0.5000
0.0000 0.0000 0.4907
0.5000 0.5000 0.9907
0.0000 0.5000 0.7092
0.5000 0.0000 0.2092
```

The value obtained for the final energy is -1.684 eV/atom. As for the space group: No. 44. The uncorrected formation energy comes out at -0.240 eV per atom. The relative energy among the computed polymorphs is 0.177 eV/atom.



[6]
Mg2CdBr: relaxed, PBE.

```
Mg2CdBr
1.0
4.0958 0.0000 0.0000
0.0000 5.6639 0.0000
0.0000 0.0000 8.3912
Mg Cd Br
4 2 2
direct
0.0000 0.0000 0.2431
0.0000 0.0000 0.7569
0.5000 0.5000 0.2431
0.5000 0.5000 0.7569
0.0000 0.5000 0.0000
0.5000 0.0000 0.0000
0.0000 0.5000 0.5000
0.5000 0.0000 0.5000
```

The value obtained for the final energy is -1.748 eV/atom. As for the space group: No. 65. The uncorrected formation energy comes out at -0.304 eV per atom. The relative energy among the computed polymorphs is 0.113 eV/atom.



[7]
MgCd2Br: relaxed, PBE.

```
MgCd2Br
1.0
3.4473 0.0000 0.0000
0.0000 3.4473 0.0000
0.0000 0.0000 8.6684
Mg Cd Br
1 2 1
direct
0.0000 0.0000 0.0000
0.0000 0.0000 0.5580
0.5000 0.5000 0.7712
0.5000 0.5000 0.1820
```

The value obtained for the final energy is -1.581 eV/atom. As for the space group: No. 99. The uncorrected formation energy comes out at -0.306 eV per atom. The relative energy among the computed polymorphs is 0.074 eV/atom.



[8]
MgCd2Br: relaxed, PBE.

```
MgCd2Br
1.0
10.0359 0.0000 0.0000
0.0000 3.6302 0.0000
-0.5980 0.0000 7.0662
Mg Cd Br
2 4 2
direct
0.0000 0.0000 0.0000
0.5000 0.5000 0.0000
0.2137 0.5000 0.1993
0.4367 0.0000 0.3144
0.7137 0.0000 0.1993
0.9367 0.5000 0.3144
0.4366 0.0000 0.7425
0.9366 0.5000 0.7425
```

The value obtained for the final energy is -1.574 eV/atom. As for the space group: No. 8. The uncorrected formation energy comes out at -0.300 eV per atom. The relative energy among the computed polymorphs is 0.081 eV/atom.



[9]
MgCd2Br: relaxed, PBE.

```
MgCd2Br
1.0
3.6914 0.0000 0.0000
-1.8457 3.1969 0.0000
0.0000 0.0000 26.9126
Mg Cd Br
3 6 3
direct
0.0000 0.0000 0.0000
0.3333 0.6667 0.6667
0.6667 0.3333 0.3333
0.0000 0.0000 0.2560
0.0000 0.0000 0.5122
0.3333 0.6667 0.1789
0.3333 0.6667 0.9227
0.6667 0.3333 0.5893
0.6667 0.3333 0.8455
0.0000 0.0000 0.7282
0.3333 0.6667 0.3949
0.6667 0.3333 0.0616
```

The value obtained for the final energy is -1.655 eV/atom. As for the space group: No. 160. The uncorrected formation energy comes out at -0.381 eV per atom. The relative energy among the computed polymorphs is 0.000 eV/atom.



[10]
Mg2CdBr: relaxed, PBE.

```
Mg2CdBr
1.0
6.6778 0.0000 0.0000
0.0000 8.5149 0.0000
-0.8402 0.0000 3.4264
Mg Cd Br
4 2 2
direct
0.2500 0.2500 0.0000
0.2500 0.7500 0.0000
0.7500 0.2500 0.0000
0.7500 0.7500 0.0000
0.0000 0.0000 0.5000
0.5000 0.5000 0.5000
0.0000 0.5000 0.5000
0.5000 0.0000 0.5000
```

The value obtained for the final energy is -1.666 eV/atom. As for the space group: No. 12. The uncorrected formation energy comes out at -0.222 eV per atom. The relative energy among the computed polymorphs is 0.195 eV/atom.



[11]
Mg2CdBr: relaxed, PBE.

```
Mg2CdBr
1.0
7.6371 0.0000 0.0000
0.0000 7.6371 0.0000
0.0000 0.0000 7.6371
Mg Cd Br
8 4 4
direct
0.0000 0.0000 0.0000
0.0000 0.5000 0.5000
0.2500 0.2500 0.2500
0.2500 0.7500 0.7500
0.5000 0.0000 0.5000
0.5000 0.5000 0.0000
0.7500 0.2500 0.7500
0.7500 0.7500 0.2500
0.2500 0.2500 0.7500
0.2500 0.7500 0.2500
0.7500 0.2500 0.2500
0.7500 0.7500 0.7500
0.0000 0.0000 0.5000
0.0000 0.5000 0.0000
0.5000 0.0000 0.0000
0.5000 0.5000 0.5000
```

The value obtained for the final energy is -1.395 eV/atom. As for the space group: No. 216. The uncorrected formation energy comes out at 0.049 eV per atom. The relative energy among the computed polymorphs is 0.467 eV/atom.



[12]
MgCdBr2: relaxed, PBE.

```
MgCdBr2
1.0
4.1876 0.0000 0.0000
0.0000 4.1876 0.0000
0.0000 0.0000 13.5592
Mg Cd Br
2 2 4
direct
0.0000 0.0000 0.0000
0.5000 0.5000 0.5000
0.0000 0.5000 0.2500
0.5000 0.0000 0.7500
0.0000 0.0000 0.5000
0.0000 0.5000 0.7500
0.5000 0.0000 0.2500
0.5000 0.5000 0.0000
```

The value obtained for the final energy is -1.850 eV/atom. As for the space group: No. 119. The uncorrected formation energy comes out at -0.386 eV per atom. The relative energy among the computed polymorphs is 0.588 eV/atom.